Entry 1:
Computed, not measured: Cs12K5Br3 after structural relaxation at the PBE level of DFT.

Geometry as extended XYZ:
```
80
Lattice="-20.2319 -5.1994 -7.0550 8.3252 -16.8572 11.5180 -1.0701 17.8744 12.8647" Properties=species:S:1:pos:R:3 pbc="T T T"
K -10.1160 -2.5997 -3.5275
K 0.0000 0.0000 0.0000
K -10.3720 -7.7324 6.7317
K -10.6510 6.3375 2.9048
K -13.3023 -1.6795 10.6741
K 3.6275 0.5086 12.1913
K 4.1626 -8.4286 5.7590
K -0.5350 8.9372 6.4323
K -6.4884 -2.0911 8.6638
K -5.6394 -3.9298 1.8420
K -15.0696 9.6334 7.4051
K -5.6280 -13.5311 8.8850
K 0.3254 -2.5028 6.6535
K 2.0928 -13.8156 9.9226
K -2.6048 3.5502 10.5959
K -7.3489 9.3489 8.4426
K -7.3374 -0.2525 15.4857
K -16.2905 2.4077 4.7468
K -5.9534 -11.0283 2.2315
K 3.3136 -6.5899 12.5809
Cs 6.4914 -12.6314 11.3920
Cs -12.1278 -4.0210 4.2717
Cs -15.4907 -6.6526 1.1179
Cs -7.1781 -4.1586 12.7242
Cs 0.2762 4.4224 6.8746
Cs -11.9308 3.5595 6.3518
Cs -1.0461 -7.7417 10.9759
Cs -7.0293 2.4615 9.1301
Cs 3.1415 -2.7417 15.4218
Cs -18.0201 6.0937 2.2306
Cs -0.8678 -3.9033 17.4087
Cs 1.3264 0.1568 20.0319
Cs -2.7825 -12.7017 5.1267
Cs -12.1090 -0.2789 -0.0810
Cs -11.4195 -5.3222 13.1430
Cs -10.1597 -11.6602 4.0047
Cs -10.0119 -5.1395 0.3164
Cs -0.8491 -0.1612 13.0560
Cs -3.9602 14.8706 10.8997
Cs -5.7987 -0.0236 4.6035
Cs 0.2456 -10.1300 7.4907
Cs -1.5574 1.1399 4.1847
Cs -9.1198 3.3700 12.9147
Cs -19.4682 8.4491 5.9356
Cs -14.3033 -4.3390 -2.7043
Cs 5.0433 -10.2759 15.0970
Cs -2.9718 10.4361 10.0451
Cs -10.1943 8.5195 12.2010
Cs -2.4414 -3.3643 10.4630
Cs 2.5139 2.4704 16.2097
Cs -2.9649 0.9572 17.0113
Cs -3.8570 -7.5522 4.4130
Cs -9.0167 -19.0528 6.4280
Cs -7.0365 5.4860 5.6337
Cs -16.1184 -1.4405 1.9059
Cs -2.8172 7.4780 13.3229
Cs -14.1162 -10.7998 1.7737
Cs -5.9404 -9.6682 11.6939
Cs 1.1394 6.6176 15.5539
Cs -9.0875 2.0737 2.1222
Cs -10.0051 -14.6183 7.2825
Cs -10.5355 -0.8180 6.8647
Cs -3.8893 -6.2560 15.2054
Cs -13.2225 5.9478 9.8369
Cs -13.2530 -8.6047 10.4531
Cs -13.5361 2.1513 13.5342
Cs 0.5592 -6.3336 3.7935
Cs -5.9476 -6.6438 8.1975
Br 3.9530 -1.9942 18.8449
Br -16.9298 -2.1880 -1.5172
Br -0.7911 3.8045 16.6916
Br -8.5582 -7.4781 12.8274
Br -2.6513 -8.0169 7.7693
Br -10.3256 3.8347 9.5584
Br -1.3840 10.7758 13.2542
Br -4.4186 3.2959 4.5003
Br -10.9650 -0.7610 3.2944
Br -12.1858 -7.9867 0.6361
Br -2.0119 -3.4212 14.0333
Br -11.5928 -14.9581 4.0735
```

Output
Size of the total moment = 0.00 μB/f.u.
ΔE_f (raw) = -0.343 eV/atom


Entry 2:
Computed, not measured: Ge2Pb2Br after structural relaxation at the PBE level of DFT.

Geometry as extended XYZ:
```
10
Lattice="8.9520 0.0000 0.0000 0.0000 8.9520 0.0000 0.0000 0.0000 3.5056" Properties=species:S:1:pos:R:3 pbc="T T T"
Br 0.0000 0.0000 0.0000
Br 4.4760 4.4760 0.0000
Ge 8.0433 3.5673 1.7528
Ge 0.9087 5.3847 1.7528
Ge 5.3847 8.0433 1.7528
Ge 3.5673 0.9087 1.7528
Pb 2.7469 7.2229 0.0000
Pb 7.2229 6.2052 0.0000
Pb 1.7292 2.7469 0.0000
Pb 6.2052 1.7292 0.0000
```

Output
Energy above the most stable polymorph in this dataset = 19.7 kJ/mol of atoms
Size of the total moment = 0.00 μB/f.u.
ΔE_f (raw) = 0.075 eV/atom


Entry 3:
Computed, not measured: CrGaSn2 after structural relaxation at the PBE level of DFT.

Geometry as extended XYZ:
```
8
Lattice="-4.8547 -5.7301 -2.0053 5.7795 -5.1483 0.7192 -0.2594 -5.8438 2.2606" Properties=species:S:1:pos:R:3 pbc="T T T"
Sn 0.6520 -13.9348 0.5747
Sn 0.1148 -8.4290 1.2085
Sn 2.9719 -5.3578 0.7770
Sn -2.4080 -5.7229 -0.6113
Cr 0.4624 -5.4392 -0.6431
Cr 2.9912 -8.2156 1.1684
Ga 0.0000 0.0000 0.0000
Ga -2.3259 -8.5066 -0.1939
```

Output
Formation enthalpy at 0 K = 376 meV/atom
Size of the total moment = 3.68 μB/f.u.


Entry 4:
Computed, not measured: PrBe2Cu10 after structural relaxation at the PBE level of DFT.

Geometry as extended XYZ:
```
13
Lattice="4.7444 0.0000 0.0000 2.3722 6.1506 0.0000 2.3722 0.0000 5.8022" Properties=species:S:1:pos:R:3 pbc="T T T"
Cu 1.1861 0.0000 2.9011
Cu 7.1166 4.6420 4.5197
Cu 4.7444 4.6420 1.2825
Cu 2.3722 3.9379 2.0092
Cu 4.7444 3.9379 3.7930
Cu 4.7444 1.5086 4.5197
Cu 7.1166 2.2127 3.7930
Cu 3.5583 0.0000 2.9011
Cu 2.3722 1.5086 1.2825
Cu 4.7444 2.2127 2.0092
Be 1.1861 3.0753 0.0000
Be 3.5583 3.0753 0.0000
Pr 0.0000 0.0000 0.0000
```

Output
Formation enthalpy at 0 K = -84 meV/atom
Size of the total moment = 0.00 μB/f.u.


Entry 5:
Computed, not measured: Ca4In2Bi after structural relaxation at the PBE level of DFT.

Geometry as extended XYZ:
```
7
Lattice="6.0399 0.0000 0.0000 0.0000 6.0399 0.0000 3.0200 3.0200 7.7214" Properties=species:S:1:pos:R:3 pbc="T T T"
Bi 0.0000 0.0000 0.0000
Ca 0.0000 3.0200 0.0000
Ca 6.0399 6.0399 3.0721
Ca 3.0200 3.0200 4.6493
Ca 3.0200 0.0000 0.0000
In 6.0399 6.0399 6.1887
In 3.0200 3.0200 1.5328
```

Output
Formation enthalpy at 0 K = -195 meV/atom
Size of the total moment = 0.00 μB/f.u.


Entry 6:
Computed, not measured: KCo2Pb after structural relaxation at the PBE level of DFT.

Geometry as extended XYZ:
```
4
Lattice="-1.0868 4.4388 -1.6984 -1.8569 1.2516 4.3306 4.5541 -1.7104 -0.3225" Properties=species:S:1:pos:R:3 pbc="T T T"
Co 0.0000 0.0000 0.0000
Co 0.6126 1.1932 2.6621
K -1.4719 2.8452 1.3161
Pb 0.9977 2.7868 -0.3524
```

Output
Energy above the most stable polymorph in this dataset = 66.1 kJ/mol of atoms
Formation enthalpy at 0 K = 1039 meV/atom
Size of the total moment = 3.36 μB/f.u.


Entry 7:
Computed, not measured: BaTl2Tc after structural relaxation at the PBE level of DFT.

Geometry as extended XYZ:
```
4
Lattice="7.8934 -0.0020 0.0100 5.8173 5.3353 -0.0100 -6.5604 -3.4248 2.7455" Properties=species:S:1:pos:R:3 pbc="T T T"
Tl 3.1267 2.3161 1.3678
Tl 12.5572 4.8846 0.0000
Ba 7.7813 3.0269 0.0000
Tc 4.2511 -0.3190 1.3778
```

Output
Energy above the most stable polymorph in this dataset = 0.0 kJ/mol of atoms
Formation enthalpy at 0 K = 351 meV/atom
Size of the total moment = 0.00 μB/f.u.


Entry 8:
Computed, not measured: Zn2CuBr2 after structural relaxation at the PBE level of DFT.

Geometry as extended XYZ:
```
10
Lattice="7.4289 0.0000 0.0000 0.0000 7.4289 0.0000 0.0000 0.0000 4.1505" Properties=species:S:1:pos:R:3 pbc="T T T"
Zn 2.8696 6.5840 0.0000
Zn 0.8448 2.8696 0.0000
Zn 4.5593 0.8448 0.0000
Zn 6.5840 4.5593 0.0000
Cu 0.0000 0.0000 0.0000
Cu 3.7144 3.7144 0.0000
Br 5.6267 1.9122 2.0752
Br 1.8022 5.5166 2.0752
Br 1.9122 1.8022 2.0752
Br 5.5166 5.6267 2.0752
```

Output
Energy above the most stable polymorph in this dataset = 2.2 kJ/mol of atoms
Size of the total moment = 0.00 μB/f.u.
ΔE_f (raw) = 0.134 eV/atom


Entry 9:
Computed, not measured: Ce12Os2Pb5 after structural relaxation at the PBE level of DFT.

Geometry as extended XYZ:
```
19
Lattice="-0.8425 8.0566 -0.3244 -1.4077 -3.9050 7.9746 8.5677 0.9751 1.9666" Properties=species:S:1:pos:R:3 pbc="T T T"
Os -0.2748 2.6275 -0.1058
Os -0.5677 5.4290 -0.2186
Ce 5.0283 4.9786 9.2864
Ce 3.2385 -1.4645 6.3550
Ce 3.0791 6.5912 3.2618
Ce 7.7396 3.0396 4.3881
Ce 4.4049 0.8312 9.2044
Ce 3.5043 2.5242 3.4256
Ce -1.4221 2.0871 5.2287
Ce 7.3213 7.0399 4.2271
Ce -1.0038 -1.9133 5.3897
Ce 2.8132 2.6025 6.1912
Ce 1.2892 0.1481 0.3304
Ce 1.9126 4.2955 0.4124
Pb 5.4784 0.7933 5.4755
Pb 4.2839 0.4875 0.9833
Pb 1.2343 0.3061 4.3968
Pb 0.8391 4.3333 4.1413
Pb 5.0832 4.8206 5.2200
```

Output
Formation enthalpy at 0 K = -193 meV/atom
Size of the total moment = 6.60 μB/f.u.


Entry 10:
Computed, not measured: BeNbB3 after structural relaxation at the PBE level of DFT.

Geometry as extended XYZ:
```
5
Lattice="4.2039 0.0000 0.0000 0.0000 4.2039 0.0000 0.0000 0.0000 4.2039" Properties=species:S:1:pos:R:3 pbc="T T T"
Nb 0.0000 0.0000 0.0000
B 2.1020 0.0000 0.0000
B 0.0000 2.1020 0.0000
B 0.0000 0.0000 2.1020
Be 2.1020 2.1020 2.1020
```

Output
Energy above the most stable polymorph in this dataset = 219.5 kJ/mol of atoms
Formation enthalpy at 0 K = 1868 meV/atom
Size of the total moment = 0.00 μB/f.u.


Entry 11:
Computed, not measured: La3Sm2Pt2 after structural relaxation at the PBE level of DFT.

Geometry as extended XYZ:
```
7
Lattice="3.8432 0.0002 -0.8629 -2.3572 5.9945 -1.5220 0.0002 0.3793 9.0125" Properties=species:S:1:pos:R:3 pbc="T T T"
Sm 1.3609 3.1696 6.0607
Sm 0.1253 3.2045 0.5669
Pt -1.8594 5.4315 0.7006
Pt 3.3456 0.9425 5.9269
La -1.1811 4.9587 3.7468
La 1.9216 0.0001 -0.4315
La 2.6673 1.4154 2.8808
```

Output
Formation enthalpy at 0 K = -699 meV/atom
Size of the total moment = 0.00 μB/f.u.


Entry 12:
Computed, not measured: InPCl after structural relaxation at the PBE level of DFT.

Geometry as extended XYZ:
```
3
Lattice="-1.3729 4.2425 1.4574 -1.4828 0.5988 4.4102 2.6330 2.3963 3.0549" Properties=species:S:1:pos:R:3 pbc="T T T"
P 0.0000 0.0000 0.0000
Cl -0.1113 3.6188 4.4613
In -0.1670 5.4282 6.6919
```

Output
Energy above the most stable polymorph in this dataset = 44.7 kJ/mol of atoms
Size of the total moment = 0.47 μB/f.u.
ΔE_f (raw) = 0.188 eV/atom


Calculated values (states/eV per atom) of DOS(E_F) for the records, taken in order: 0.536, 0.458, 0.635, 0.280, 1.246, 1.426, 0.737, 0.733, 2.923, 0.409, 1.288, 1.243.
Calculated values (Mg/m³) of theoretical density for the records, taken in order: 1.63, 7.56, 6.54, 7.79, 3.53, 7.41, 9.26, 5.14, 8.94, 3.00, 8.73, 4.12.
Calculated values (eV/atom) of E_tot for the records, taken in order: -1.381, -3.590, -4.788, -4.176, -2.675, -3.716, -3.904, -1.864, -6.099, -4.898, -5.885, -3.144.